Record 1
VASP calculation (PBE) on an optimized crystal structure of IrSeIO2.

extended XYZ file:
```
5
Lattice="3.8357 0.0000 0.0000 0.0000 3.8357 0.0000 0.0000 0.0000 8.3148" Properties=species:S:1:pos:R:3 pbc="T T T"
I 0.0000 0.0000 4.1574
Ir 0.0000 0.0000 0.0000
O 0.0000 1.9179 0.0000
O 1.9179 0.0000 0.0000
Se 1.9179 1.9179 4.1574
```

Formation energy from raw total energies (eV/f.u.): -0.10
Final energy (eV for the cell shown): -23.92
Total moment (μB/atom): 0.105
Space-group type: P4/mmm, No. 123

Record 2
VASP calculation (PBE) on an optimized crystal structure of PaVSi2Pt.

extended XYZ file:
```
5
Lattice="-1.6725 -1.2992 3.5173 3.6402 0.3608 1.8642 -2.0951 5.2628 -1.4485" Properties=species:S:1:pos:R:3 pbc="T T T"
Pa 0.0000 0.0000 0.0000
V -1.3919 1.7472 2.3797
Si 0.7265 0.6410 2.9784
Si -0.8539 3.6834 0.9545
Pt 1.2645 2.5772 1.5532
```

Formation energy from raw total energies (eV/f.u.): -3.73
Final energy (eV for the cell shown): -39.23
Total moment (μB/atom): 0.465
Space-group type: I-4m2, No. 119

- Among the records above, which one has the lowest total moment?
  IrSeIO2